1.
The following is a PBE calculation of YTaPb2 after structural relaxation, from Alexandria via LeMat-Bulk.

## Properties
ΔH_f (0 K)	0.907	eV/f.u.

abc: 5.971 5.971 5.971
angles: 136.64 136.78 62.88
Fractional positions:
Pb (0.750, 0.250, 0.500)
Y (0.250, 0.750, 0.500)
Ta (0.500, 0.500, 0.000)
Pb (0.000, 0.000, 0.000)



2.
The following is a PBE calculation of Dy4Pb after structural relaxation, from Alexandria via LeMat-Bulk.

## Properties
ΔH_f (0 K)	2.057	eV/f.u.

abc: 5.790 5.790 5.790
angles: 90.00 90.00 90.00
Fractional positions:
Dy (0.500, 0.000, 0.500)
Pb (0.500, 0.500, 0.500)
Dy (0.000, 0.500, 0.500)
Dy (0.500, 0.500, 0.000)
Dy (0.000, 0.000, 0.000)



3.
The following is a PBE calculation of Sc2TlTcSe after structural relaxation, from Alexandria via LeMat-Bulk.

## Properties
uncorrected formation energy	42	meV per atom

abc: 4.962 5.230 4.962
angles: 90.00 90.00 90.00
Fractional positions:
Sc (0.000, 0.000, 0.500)
Tc (0.000, 0.000, 0.000)
Tl (0.000, 0.500, 0.000)
Se (0.500, 0.500, 0.500)
Sc (0.500, 0.000, 0.000)



4.
The following is a PBE calculation of NpTl2S2I2 after structural relaxation, from Alexandria via LeMat-Bulk.

## Properties
uncorrected formation energy	-830	meV per atom

abc: 5.238 5.238 9.837
angles: 105.44 105.44 90.00
Fractional positions:
S (0.500, 0.000, 0.000)
Tl (0.380, 0.380, 0.759)
Np (0.000, 0.000, 0.000)
I (0.169, 0.169, 0.338)
Tl (0.620, 0.620, 0.241)
S (0.000, 0.500, 0.000)
I (0.831, 0.831, 0.662)



5.
The following is a PBE calculation of Ho3BeRh2 after structural relaxation, from Alexandria via LeMat-Bulk.

## Properties
ΔH_f (0 K)	-4.049	eV/f.u.

abc: 3.902 11.539 11.144
angles: 90.00 90.00 90.00
Fractional positions:
Ho (0.250, 0.057, 0.877)
Be (0.250, 0.369, 0.625)
Ho (0.750, 0.621, 0.939)
Rh (0.250, 0.682, 0.470)
Ho (0.250, 0.695, 0.202)
Ho (0.250, 0.121, 0.561)
Ho (0.250, 0.379, 0.061)
Rh (0.250, 0.818, 0.970)
Be (0.750, 0.631, 0.375)
Ho (0.750, 0.557, 0.623)
Be (0.750, 0.869, 0.875)
Rh (0.750, 0.182, 0.030)
Be (0.250, 0.131, 0.125)
Ho (0.750, 0.943, 0.123)
Ho (0.750, 0.305, 0.798)
Rh (0.750, 0.520, 0.194)
Ho (0.250, 0.805, 0.702)
Rh (0.250, 0.020, 0.306)
Rh (0.250, 0.480, 0.806)
Ho (0.750, 0.195, 0.298)
Ho (0.750, 0.879, 0.439)
Rh (0.750, 0.980, 0.694)
Rh (0.750, 0.318, 0.530)
Ho (0.250, 0.443, 0.377)



6.
The following is a PBE calculation of CsPmAs2O6 after structural relaxation, from Alexandria via LeMat-Bulk.

## Properties
uncorrected formation energy	-1823	meV per atom

abc: 7.321 7.321 6.889
angles: 102.84 102.84 90.82
Fractional positions:
O (0.552, 0.680, 0.110)
As (0.126, 0.275, 0.297)
As (0.725, 0.874, 0.203)
O (0.394, 0.920, 0.747)
O (0.826, 0.848, 0.956)
O (0.606, 0.080, 0.253)
Cs (0.799, 0.201, 0.750)
O (0.448, 0.320, 0.890)
Pm (0.604, 0.396, 0.250)
O (0.320, 0.448, 0.390)
As (0.275, 0.126, 0.797)
O (0.152, 0.174, 0.544)
O (0.080, 0.606, 0.753)
O (0.920, 0.394, 0.247)
As (0.874, 0.725, 0.703)
Pm (0.396, 0.604, 0.750)
O (0.174, 0.152, 0.044)
O (0.680, 0.552, 0.610)
O (0.848, 0.826, 0.456)
Cs (0.201, 0.799, 0.250)



7.
The following is a PBE calculation of BaZn2Ag6 after structural relaxation, from Alexandria via LeMat-Bulk.

## Properties
ΔH_f (0 K)	-0.710	eV/f.u.
polymorph energy (0 for the lowest one)	0	meV per atom

abc: 4.784 4.784 8.413
angles: 90.00 90.00 90.00
Fractional positions:
Ag (0.000, 0.500, 0.689)
Ag (0.500, 0.500, 0.500)
Ag (0.500, 0.000, 0.311)
Zn (0.500, 0.500, 0.157)
Ba (0.000, 0.000, 0.000)
Ag (0.000, 0.000, 0.500)
Ag (0.500, 0.000, 0.689)
Zn (0.500, 0.500, 0.843)
Ag (0.000, 0.500, 0.311)



8.
The following is a PBE calculation of Tb2ZnGa4Au3 after structural relaxation, from Alexandria via LeMat-Bulk.

## Properties
ΔH_f (0 K)	-5.780	eV/f.u.

abc: 4.222 4.222 11.083
angles: 90.00 90.00 90.00
Fractional positions:
Au (0.000, 0.000, 0.500)
Au (0.000, 0.500, 0.139)
Ga (0.000, 0.000, 0.000)
Au (0.500, 0.000, 0.861)
Tb (0.500, 0.000, 0.258)
Ga (0.000, 0.500, 0.364)
Ga (0.500, 0.500, 0.000)
Zn (0.500, 0.500, 0.500)
Ga (0.500, 0.000, 0.636)
Tb (0.000, 0.500, 0.742)



| no. | uncorrected energy (Ha/atom) |
| --- | --- |
| 1 | -0.2281 |
| 2 | -0.1474 |
| 3 | -0.2107 |
| 4 | -0.1829 |
| 5 | -0.2218 |
| 6 | -0.2311 |
| 7 | -0.0910 |
| 8 | -0.1406 |